# Pr2MgMn, optimized geometry, DFT PBE
data_Pr2MgMn
_chemical_formula_sum 'Pr2 Mg1 Mn1'
_cell_length_a 3.7157
_cell_length_b 3.7157
_cell_length_c 8.0501
_cell_angle_alpha 90.00
_cell_angle_beta 90.00
_cell_angle_gamma 90.00
_space_group_name_H-M_alt 'P 4/m m m'
_space_group_IT_number 123
_space_group_name_Hall '-P 4 2'
loop_
_atom_site_label
_atom_site_fract_x
_atom_site_fract_y
_atom_site_fract_z
Pr1 0.0000 0.0000 0.2258
Mg1 0.5000 0.5000 0.5000
Mn1 0.5000 0.5000 0.0000
# DFT formation energy: 0.101 eV per atom


# Pr3MgMn, optimized geometry, DFT PBE
data_Pr3MgMn
_chemical_formula_sum 'Pr3 Mg1 Mn1'
_cell_length_a 5.3342
_cell_length_b 5.3342
_cell_length_c 5.3342
_cell_angle_alpha 90.00
_cell_angle_beta 90.00
_cell_angle_gamma 90.00
_space_group_name_H-M_alt 'P m -3 m'
_space_group_IT_number 221
_space_group_name_Hall '-P 4 2 3'
loop_
_atom_site_label
_atom_site_fract_x
_atom_site_fract_y
_atom_site_fract_z
Pr1 0.0000 0.0000 0.5000
Mg1 0.5000 0.5000 0.5000
Mn1 0.0000 0.0000 0.0000
# DFT formation energy: 0.225 eV per atom


# Pr2MgMnS5, optimized geometry, DFT PBE
data_Pr2MgMnS5
_chemical_formula_sum 'Pr8 Mg4 Mn4 S20'
_cell_length_a 3.9720
_cell_length_b 16.6435
_cell_length_c 11.6260
_cell_angle_alpha 90.00
_cell_angle_beta 90.00
_cell_angle_gamma 90.00
_space_group_name_H-M_alt 'C m c 21'
_space_group_IT_number 36
loop_
_space_group_symop_operation_xyz
'x,y,z'
'-x,-y,z+1/2'
'-x,y,z'
'x,-y,z+1/2'
'x+1/2,y+1/2,z'
'-x+1/2,-y+1/2,z+1/2'
'-x+1/2,y+1/2,z'
'x+1/2,-y+1/2,z+1/2'
loop_
_atom_site_label
_atom_site_fract_x
_atom_site_fract_y
_atom_site_fract_z
Pr1 0.0000 0.1131 0.0000
Pr2 0.0000 0.1318 0.6164
Mg1 0.0000 0.2062 0.3268
Mn1 0.0000 0.4423 0.7692
S1 0.0000 0.0504 0.3760
S2 0.0000 0.2869 0.9761
S3 0.0000 0.3118 0.6704
S4 0.0000 0.3572 0.3130
S5 0.0000 0.4967 0.0886
# formation energy (no corrections): -1.5676 eV per atom


# TbPrMgMn, optimized geometry, DFT PBE
data_TbPrMgMn
_chemical_formula_sum 'Tb4 Pr4 Mg4 Mn4'
_cell_length_a 7.4919
_cell_length_b 7.4919
_cell_length_c 7.4919
_cell_angle_alpha 90.00
_cell_angle_beta 90.00
_cell_angle_gamma 90.00
_space_group_name_H-M_alt 'F -4 3 m'
_space_group_IT_number 216
_space_group_name_Hall 'F -4 2 3'
loop_
_atom_site_label
_atom_site_fract_x
_atom_site_fract_y
_atom_site_fract_z
Tb1 0.0000 0.0000 0.0000
Pr1 0.0000 0.0000 0.5000
Mg1 0.2500 0.2500 0.2500
Mn1 0.2500 0.2500 0.7500
# DFT formation energy: 0.117 eV per atom


# MgMnPt3, optimized geometry, DFT PBE
data_MgMnPt3
_chemical_formula_sum 'Mg1 Mn1 Pt3'
_cell_length_a 4.5441
_cell_length_b 4.5441
_cell_length_c 4.5441
_cell_angle_alpha 90.00
_cell_angle_beta 90.00
_cell_angle_gamma 90.00
_space_group_name_H-M_alt 'P m -3 m'
_space_group_IT_number 221
_space_group_name_Hall '-P 4 2 3'
loop_
_atom_site_label
_atom_site_fract_x
_atom_site_fract_y
_atom_site_fract_z
Mg1 0.0000 0.0000 0.0000
Mn1 0.5000 0.5000 0.5000
Pt1 0.0000 0.0000 0.5000
# DFT formation energy: 1.249 eV per atom


# Mg4MnPt15, optimized geometry, DFT PBE
data_Mg4MnPt15
_chemical_formula_sum 'Mg4 Mn1 Pt15'
_cell_length_a 3.9422
_cell_length_b 3.9422
_cell_length_c 19.8899
_cell_angle_alpha 90.00
_cell_angle_beta 90.00
_cell_angle_gamma 90.00
_space_group_name_H-M_alt 'P 4/m m m'
_space_group_IT_number 123
_space_group_name_Hall '-P 4 2'
loop_
_atom_site_label
_atom_site_fract_x
_atom_site_fract_y
_atom_site_fract_z
Mg1 0.0000 0.0000 0.1004
Mg2 0.0000 0.0000 0.3010
Mn1 0.0000 0.0000 0.5000
Pt1 0.0000 0.5000 0.0000
Pt2 0.0000 0.5000 0.2008
Pt3 0.0000 0.5000 0.4021
Pt4 0.5000 0.5000 0.1004
Pt5 0.5000 0.5000 0.3014
Pt6 0.5000 0.5000 0.5000
# DFT formation energy: -0.553 eV per atom


# Mg2MnPt, optimized geometry, DFT PBE
data_Mg2MnPt
_chemical_formula_sum 'Mg2 Mn1 Pt1'
_cell_length_a 3.2863
_cell_length_b 3.2863
_cell_length_c 6.5610
_cell_angle_alpha 90.00
_cell_angle_beta 90.00
_cell_angle_gamma 90.00
_space_group_name_H-M_alt 'P 4 m m'
_space_group_IT_number 99
loop_
_space_group_symop_operation_xyz
'x,y,z'
'-y,x,z'
'-x,-y,z'
'y,-x,z'
'-x,y,z'
'y,x,z'
'x,-y,z'
'-y,-x,z'
loop_
_atom_site_label
_atom_site_fract_x
_atom_site_fract_y
_atom_site_fract_z
Mg1 0.0000 0.0000 0.0000
Mg2 0.5000 0.5000 0.3126
Mn1 0.0000 0.0000 0.5661
Pt1 0.5000 0.5000 0.7676
# DFT formation energy: -0.262 eV per atom


# MgMnPt2, optimized geometry, DFT PBE
data_MgMnPt2
_chemical_formula_sum 'Mg2 Mn2 Pt4'
_cell_length_a 9.5553
_cell_length_b 2.9484
_cell_length_c 4.5783
_cell_angle_alpha 90.00
_cell_angle_beta 103.28
_cell_angle_gamma 90.00
_space_group_name_H-M_alt 'C 1 m 1'
_space_group_IT_number 8
loop_
_space_group_symop_operation_xyz
'x,y,z'
'x,-y,z'
'x+1/2,y+1/2,z'
'x+1/2,-y+1/2,z'
loop_
_atom_site_label
_atom_site_fract_x
_atom_site_fract_y
_atom_site_fract_z
Mg1 0.0000 0.0000 0.0000
Mn1 0.2669 0.5000 0.3475
Pt1 0.0075 0.5000 0.4988
Pt2 0.2559 0.0000 0.8423
# DFT formation energy: -0.512 eV per atom


| no. | total moment (μB per formula unit) |
| --- | --- |
| 1 | 3.03 |
| 2 | 0.05 |
| 3 | 4.98 |
| 4 | 3.26 |
| 5 | 0.43 |
| 6 | 3.73 |
| 7 | 4.03 |
| 8 | 4.22 |